No. 1
ReAsOs2: relaxed, PBE.

Computed properties:
* DFT formation energy: 0.451 eV/atom
* symmetry: Pmmm (47)

Unit cell a=2.8527 b=3.8015 c=5.4906 alpha=90.00 beta=90.00 gamma=90.00
Fractional positions:
Re 0.0000 0.0000 0.0000
As 0.0000 0.0000 0.5000
Os 0.5000 0.5000 0.2427
Os 0.5000 0.5000 0.7573

=====

No. 2
ReAs2Os: relaxed, PBE.

Computed properties:
* DFT formation energy: 0.720 eV/atom
* symmetry: P2/m (10)
* energy above the most stable polymorph in this dataset: 0.613 eV per atom

Unit cell a=2.9683 b=4.0840 c=5.2202 alpha=90.00 beta=90.01 gamma=90.00
Fractional positions:
Re 0.0000 0.0000 0.0000
As 0.3275 0.5000 0.7637
As 0.6725 0.5000 0.2363
Os 0.5000 0.0000 0.5000

=====

No. 3
Re2AsOs: relaxed, PBE.

Computed properties:
* DFT formation energy: 1.001 eV/atom
* symmetry: I-42d (122)

Unit cell a=6.7997 b=6.7997 c=6.7997 alpha=131.12 beta=131.12 gamma=71.62
Fractional positions:
Re 0.1206 0.6250 0.9956
Re 0.3750 0.3706 0.4956
Re 0.6294 0.1250 0.0044
Re 0.8750 0.8794 0.5044
As 0.2500 0.7500 0.5000
As 0.5000 0.5000 0.0000
Os 0.0000 0.0000 0.0000
Os 0.7500 0.2500 0.5000

=====

No. 4
ReAsOs2: relaxed, PBE.

Computed properties:
* DFT formation energy: 0.719 eV/atom
* symmetry: C2/m (12)

Unit cell a=5.1858 b=5.1858 c=2.8316 alpha=102.89 beta=102.89 gamma=118.14
Fractional positions:
Re 0.0000 0.0000 0.0000
As 0.5000 0.5000 0.0000
Os 0.0000 0.5000 0.5000
Os 0.5000 0.0000 0.5000

=====

No. 5
ReAsOs2: relaxed, PBE.

Computed properties:
* DFT formation energy: 0.262 eV/atom
* symmetry: R-3m (166)

Unit cell a=8.7505 b=8.7505 c=8.7505 alpha=18.55 beta=18.55 gamma=18.55
Fractional positions:
Re 0.0000 0.0000 0.0000
As 0.5000 0.5000 0.5000
Os 0.2494 0.2494 0.2494
Os 0.7506 0.7506 0.7506

=====

No. 6
Re2AsOs: relaxed, PBE.

Computed properties:
* DFT formation energy: 0.531 eV/atom
* symmetry: C2/m (12)

Unit cell a=4.8782 b=4.8782 c=2.8493 alpha=90.11 beta=90.11 gamma=117.26
Fractional positions:
Re 0.0000 0.5000 0.0000
Re 0.5000 0.0000 0.0000
As 0.0000 0.0000 0.5000
Os 0.5000 0.5000 0.5000

=====

No. 7
Re2AsOs: relaxed, PBE.

Computed properties:
* DFT formation energy: 0.561 eV/atom
* symmetry: I-4m2 (119)

Unit cell a=4.7845 b=4.7845 c=4.7845 alpha=131.92 beta=131.92 gamma=70.35
Fractional positions:
Re 0.0000 0.0000 0.0000
Re 0.7500 0.2500 0.5000
As 0.2500 0.7500 0.5000
Os 0.5000 0.5000 0.0000

=====

No. 8
Re2AsOs: relaxed, PBE.

Computed properties:
* DFT formation energy: 0.549 eV/atom
* symmetry: F-43m (216)

Unit cell a=4.4078 b=4.4078 c=4.4078 alpha=60.00 beta=60.00 gamma=60.00
Fractional positions:
Re 0.0000 0.0000 0.0000
Re 0.2500 0.2500 0.2500
As 0.5000 0.5000 0.5000
Os 0.7500 0.7500 0.7500